Density functional theory data (PBE-GGA) for a relaxed structure of LiAcF5.

abc: 5.774 5.774 5.774
angles: 110.59 84.57 137.98
Positions (direct):
Li1 0.000 0.000 0.000
Ac1 0.488 0.988 0.500
F1 0.345 0.115 0.230
F2 0.484 0.484 0.000
F3 0.884 0.115 0.770
F4 0.988 0.285 0.297
F5 0.988 0.691 0.703

Results
The calculation puts the density of states at the Fermi level at 2.7 states/eV/cell. The calculation puts the uncorrected formation energy at -3.073 eV per atom. The total magnetization comes out at 1.060 μB/f.u.